Model A:
# CaCdW2O8

A geometry-optimized CaCdW2O8 structure (PBE+U, Alexandria).

Cell: 6.2354 6.2354 6.2354 Å, 107.53 107.53 113.42°
Closest atoms and distances in Å follow each position.
Element x y z (fractional)
Ca1 0.0000 0.0000 0.0000  4 O 2.32
Cd1 0.2500 0.7500 0.5000  4 O 2.33
W1 0.5000 0.5000 0.0000  4 O 1.82
W2 0.7500 0.2500 0.5000  4 O 1.81
O1 0.3369 0.1421 0.8052  1 W 1.82
O2 0.3369 0.5317 0.1948  1 W 1.82
O3 0.3940 0.0900 0.3040  1 W 1.81
O4 0.4683 0.6631 0.8052  1 W 1.82
O5 0.7860 0.0900 0.6960  1 W 1.81
O6 0.8579 0.6631 0.1948  1 W 1.82
O7 0.9100 0.2140 0.3040  1 W 1.81
O8 0.9100 0.6060 0.6960  1 W 1.81

* symmetry: I-4m2, No. 119

Model B:
# CaCdW2O8

A geometry-optimized CaCdW2O8 structure (PBE+U, Alexandria).

Cell: 6.8182 6.8182 6.8182 Å, 134.18 134.18 66.80°
Closest atoms and distances in Å follow each position.
Element x y z (fractional)
Ca1 0.0000 0.0000 0.0000  8 O 2.45-2.48
Cd1 0.7500 0.2500 0.5000  8 O 2.45-2.48
W1 0.2500 0.7500 0.5000  4 O 1.83
W2 0.5000 0.5000 0.0000  4 O 1.83
O1 0.0028 0.9033 0.5817  1 W 1.83
O2 0.0967 0.6784 0.0995  1 W 1.83
O3 0.1697 0.2545 0.5996  1 W 1.83
O4 0.3216 0.4210 0.4183  1 W 1.83
O5 0.4299 0.8303 0.0848  1 W 1.83
O6 0.5790 0.9972 0.9005  1 W 1.83
O7 0.6549 0.5701 0.4004  1 W 1.83
O8 0.7455 0.3451 0.9152  1 W 1.83

* symmetry: I-4, No. 82

Best to worst by energy: model B, model A.